one) This record from Alexandria describes crystalline Nb3SnAu at its relaxed geometry. The functional is PBE-GGA.

The structure in CIF format:
```
data_Nb3SnAu
_chemical_formula_sum 'Nb3 Sn1 Au1'
_cell_length_a 4.973
_cell_length_b 4.973
_cell_length_c 4.973
_cell_angle_alpha 90.00
_cell_angle_beta 90.00
_cell_angle_gamma 90.00
_space_group_name_H-M_alt 'P m -3 m'
_space_group_IT_number 221
_space_group_name_Hall '-P 4 2 3'
loop_
_atom_site_label
_atom_site_fract_x
_atom_site_fract_y
_atom_site_fract_z
Nb1 0.000 0.000 0.500
Sn1 0.500 0.500 0.500
Au1 0.000 0.000 0.000
```

Summary:
For the density of states at the Fermi level, the calculation gives 1.312 states/eV per atom. The value obtained for the magnetic moment is 0.00 μB/f.u.


two) This record from Alexandria describes crystalline Nb3SnAu at its relaxed geometry. The functional is PBE-GGA.

The structure in CIF format:
```
data_Nb3SnAu
_chemical_formula_sum 'Nb6 Sn2 Au2'
_cell_length_a 4.665
_cell_length_b 7.339
_cell_length_c 5.866
_cell_angle_alpha 90.00
_cell_angle_beta 90.00
_cell_angle_gamma 90.00
_space_group_name_H-M_alt 'P m m n'
_space_group_IT_number 59
loop_
_space_group_symop_operation_xyz
'x,y,z'
'-x,-y,-z'
'-x+1/2,-y+1/2,z'
'x+1/2,y+1/2,-z'
'x+1/2,-y,-z'
'-x+1/2,y,z'
'-x,y+1/2,-z'
'x,-y+1/2,z'
loop_
_atom_site_label
_atom_site_fract_x
_atom_site_fract_y
_atom_site_fract_z
Nb1 0.250 0.073 0.208
Nb2 0.250 0.750 0.976
Sn1 0.250 0.250 0.736
Au1 0.250 0.750 0.515
```

Summary:
For the density of states at the Fermi level, the calculation gives 0.535 states/eV per atom. The value obtained for the magnetic moment is 0.00 μB/f.u.


three) This record from Alexandria describes crystalline Nb3SnAu at its relaxed geometry. The functional is PBE-GGA.

The structure in CIF format:
```
data_Nb3SnAu
_chemical_formula_sum 'Nb6 Sn2 Au2'
_cell_length_a 7.050
_cell_length_b 3.644
_cell_length_c 7.337
_cell_angle_alpha 90.00
_cell_angle_beta 92.87
_cell_angle_gamma 90.00
_space_group_name_H-M_alt 'P 1 21/m 1'
_space_group_IT_number 11
_space_group_name_Hall '-P 2yb'
loop_
_atom_site_label
_atom_site_fract_x
_atom_site_fract_y
_atom_site_fract_z
Nb1 0.029 0.250 0.152
Nb2 0.255 0.250 0.746
Nb3 0.459 0.250 0.350
Sn1 0.333 0.750 0.059
Au1 0.148 0.750 0.453
```

Summary:
For the density of states at the Fermi level, the calculation gives 0.726 states/eV per atom. The value obtained for the magnetic moment is 0.00 μB/f.u.


Most stable: three) (next structure +23.4 kJ/mol of atoms)